Computed, not measured: crystalline Sc2AsRh at its relaxed geometry at the GGA-PBE level of DFT.

Results
formation energy: -3.61 eV per formula unit
M_tot: 0.0 μB per cell
density of states at the Fermi level: 2.0 states/eV/f.u.

Cell: 3.7416 3.9019 9.8112 Å, 90.00 90.00 90.00°
With the nearest neighbours (Å) after each atom.
Space group Imm2 (No. 44)
Unique sites:
Sc  0.0000  0.0000  0.0000 x2  4 Rh 2.71
Sc  0.0000  0.5000  0.2422 x2  4 As 2.71
As  0.0000  0.5000  0.7624 x2  4 Sc 2.71, 2 Rh 2.90
Rh  0.0000  0.0000  0.4881 x2  4 Sc 2.71, 2 As 2.90